## Ba2NaTc2N6 (GGA-PBE)

Data for an optimized crystal structure of Ba2NaTc2N6.

## Properties
Spin magnetization: 1.0 μB/f.u.
Uncorrected formation energy: -2.36 eV/f.u.
Fermi-level density of states: 4.33 states/eV per cell
E_tot: -7.110 eV/atom
Crystal system: triclinic

```
data_Ba2NaTc2N6
_chemical_formula_sum 'Ba2 Na1 Tc2 N6'
_symmetry_space_group_name_H-M 'P -1'
_symmetry_Int_Tables_number 2
_cell_length_a 6.1000
_cell_length_b 6.4415
_cell_length_c 7.1791
_cell_angle_alpha 91.98
_cell_angle_beta 115.12
_cell_angle_gamma 118.20
loop_
_symmetry_equiv_pos_as_xyz
'x,y,z'
'-x,-y,-z'
loop_
_atom_site_label
_atom_site_type_symbol
_atom_site_fract_x
_atom_site_fract_y
_atom_site_fract_z
Ba1 Ba 0.0211 0.2334 0.3089
Na1 Na 0.5000 0.5000 0.0000
Tc1 Tc 0.3228 0.8438 0.3018
N1 N 0.0070 0.3332 0.7012
N2 N 0.3308 0.0343 0.1261
N3 N 0.4707 0.6650 0.2986
```

---

## BaNaTcN3 (GGA-PBE)

Data for an optimized crystal structure of BaNaTcN3.

## Properties
Spin magnetization: 1.0 μB/f.u.
Uncorrected formation energy: -1.83 eV/f.u.
Fermi-level density of states: 5.34 states/eV per cell
E_tot: -6.735 eV/atom
Crystal system: monoclinic

```
data_BaNaTcN3
_chemical_formula_sum 'Ba4 Na4 Tc4 N12'
_symmetry_space_group_name_H-M 'C 1 2/c 1'
_symmetry_Int_Tables_number 15
_cell_length_a 6.0075
_cell_length_b 11.1963
_cell_length_c 5.6989
_cell_angle_alpha 90.00
_cell_angle_beta 100.86
_cell_angle_gamma 90.00
loop_
_symmetry_equiv_pos_as_xyz
'x,y,z'
'-x,-y,-z'
'-x,y,-z+1/2'
'x,-y,z+1/2'
'x+1/2,y+1/2,z'
'-x+1/2,-y+1/2,-z'
'-x+1/2,y+1/2,-z+1/2'
'x+1/2,-y+1/2,z+1/2'
loop_
_atom_site_label
_atom_site_type_symbol
_atom_site_fract_x
_atom_site_fract_y
_atom_site_fract_z
Ba1 Ba 0.0000 0.2399 0.2500
Na1 Na 0.0000 0.0670 0.7500
Tc1 Tc 0.0000 0.4487 0.7500
N1 N 0.0000 0.2866 0.7500
N2 N 0.2055 0.4587 0.4779
```

---

## BaNa2TeN (GGA-PBE)

Data for an optimized crystal structure of BaNa2TeN.

## Properties
Spin magnetization: 0.0 μB/f.u.
Uncorrected formation energy: 1.99 eV/f.u.
Fermi-level density of states: 1.11 states/eV per cell
E_tot: -2.807 eV/atom
Crystal system: tetragonal

```
data_BaNa2TeN
_chemical_formula_sum 'Ba1 Na2 Te1 N1'
_symmetry_space_group_name_H-M 'P 4/m m m'
_symmetry_Int_Tables_number 123
_symmetry_space_group_name_Hall '-P 4 2'
_cell_length_a 6.3616
_cell_length_b 6.3616
_cell_length_c 4.3792
_cell_angle_alpha 90.00
_cell_angle_beta 90.00
_cell_angle_gamma 90.00
loop_
_atom_site_label
_atom_site_type_symbol
_atom_site_fract_x
_atom_site_fract_y
_atom_site_fract_z
Ba1 Ba 0.0000 0.0000 0.0000
Na1 Na 0.0000 0.5000 0.0000
Te1 Te 0.5000 0.5000 0.5000
N1 N 0.0000 0.0000 0.5000
```

---

## BaNaTeN2 (GGA-PBE)

Data for an optimized crystal structure of BaNaTeN2.

## Properties
Spin magnetization: 5.0 μB/f.u.
Uncorrected formation energy: 5.00 eV/f.u.
Fermi-level density of states: 5.45 states/eV per cell
E_tot: -3.607 eV/atom
Crystal system: tetragonal

```
data_BaNaTeN2
_chemical_formula_sum 'Ba1 Na1 Te1 N2'
_symmetry_space_group_name_H-M 'P 4/m m m'
_symmetry_Int_Tables_number 123
_symmetry_space_group_name_Hall '-P 4 2'
_cell_length_a 5.2913
_cell_length_b 5.2913
_cell_length_c 6.9767
_cell_angle_alpha 90.00
_cell_angle_beta 90.00
_cell_angle_gamma 90.00
loop_
_atom_site_label
_atom_site_type_symbol
_atom_site_fract_x
_atom_site_fract_y
_atom_site_fract_z
Ba1 Ba 0.0000 0.0000 0.0000
Na1 Na 0.5000 0.5000 0.5000
Te1 Te 0.0000 0.0000 0.5000
N1 N 0.0000 0.5000 0.0000
```

---

## BaNaTeN2 (GGA-PBE)

Data for an optimized crystal structure of BaNaTeN2.

## Properties
Spin magnetization: 5.0 μB/f.u.
Uncorrected formation energy: 4.50 eV/f.u.
Fermi-level density of states: 2.52 states/eV per cell
E_tot: -3.706 eV/atom
Crystal system: tetragonal

```
data_BaNaTeN2
_chemical_formula_sum 'Ba1 Na1 Te1 N2'
_symmetry_space_group_name_H-M 'P 4/m m m'
_symmetry_Int_Tables_number 123
_symmetry_space_group_name_Hall '-P 4 2'
_cell_length_a 4.9162
_cell_length_b 4.9162
_cell_length_c 5.8064
_cell_angle_alpha 90.00
_cell_angle_beta 90.00
_cell_angle_gamma 90.00
loop_
_atom_site_label
_atom_site_type_symbol
_atom_site_fract_x
_atom_site_fract_y
_atom_site_fract_z
Ba1 Ba 0.0000 0.0000 0.0000
Na1 Na 0.5000 0.5000 0.5000
Te1 Te 0.5000 0.5000 0.0000
N1 N 0.0000 0.5000 0.5000
```

---

## BaNaU4N8 (GGA-PBE)

Data for an optimized crystal structure of BaNaU4N8.

## Properties
Spin magnetization: 3.1 μB/f.u.
Uncorrected formation energy: -14.75 eV/f.u.
Fermi-level density of states: 28.59 states/eV per cell
E_tot: -9.267 eV/atom
Crystal system: trigonal

```
data_BaNaU4N8
_chemical_formula_sum 'Ba3 Na3 U12 N24'
_symmetry_space_group_name_H-M 'R 3 m'
_symmetry_Int_Tables_number 160
_symmetry_space_group_name_Hall 'R 3 -2"'
_cell_length_a 7.0133
_cell_length_b 7.0133
_cell_length_c 16.7264
_cell_angle_alpha 90.00
_cell_angle_beta 90.00
_cell_angle_gamma 120.00
loop_
_atom_site_label
_atom_site_type_symbol
_atom_site_fract_x
_atom_site_fract_y
_atom_site_fract_z
Ba1 Ba 0.0000 0.0000 0.0000
Na1 Na 0.0000 0.0000 0.6155
U1 U 0.0000 0.0000 0.2307
U2 U 0.1697 0.3395 0.4500
N1 N 0.0000 0.0000 0.3760
N2 N 0.0000 0.0000 0.8441
N3 N 0.0609 0.5305 0.3901
N4 N 0.1730 0.3460 0.1821
```

---

## BaNaV2N (GGA-PBE)

Data for an optimized crystal structure of BaNaV2N.

## Properties
Spin magnetization: 3.2 μB/f.u.
Uncorrected formation energy: 1.42 eV/f.u.
Fermi-level density of states: 5.52 states/eV per cell
E_tot: -5.676 eV/atom
Crystal system: tetragonal

```
data_BaNaV2N
_chemical_formula_sum 'Ba1 Na1 V2 N1'
_symmetry_space_group_name_H-M 'P 4/m m m'
_symmetry_Int_Tables_number 123
_symmetry_space_group_name_Hall '-P 4 2'
_cell_length_a 4.1183
_cell_length_b 4.1183
_cell_length_c 5.6904
_cell_angle_alpha 90.00
_cell_angle_beta 90.00
_cell_angle_gamma 90.00
loop_
_atom_site_label
_atom_site_type_symbol
_atom_site_fract_x
_atom_site_fract_y
_atom_site_fract_z
Ba1 Ba 0.0000 0.0000 0.0000
Na1 Na 0.5000 0.5000 0.0000
V1 V 0.0000 0.5000 0.5000
N1 N 0.0000 0.0000 0.5000
```

---

## BaNaVN3 (GGA-PBE)

Data for an optimized crystal structure of BaNaVN3.

## Properties
Spin magnetization: 0.0 μB/f.u.
Uncorrected formation energy: -3.25 eV/f.u.
Fermi-level density of states: 9.69 states/eV per cell
E_tot: -6.765 eV/atom
Crystal system: monoclinic

```
data_BaNaVN3
_chemical_formula_sum 'Ba4 Na4 V4 N12'
_symmetry_space_group_name_H-M 'C 1 2/c 1'
_symmetry_Int_Tables_number 15
_cell_length_a 5.9940
_cell_length_b 11.1416
_cell_length_c 5.4542
_cell_angle_alpha 90.00
_cell_angle_beta 99.10
_cell_angle_gamma 90.00
loop_
_symmetry_equiv_pos_as_xyz
'x,y,z'
'-x,-y,-z'
'-x,y,-z+1/2'
'x,-y,z+1/2'
'x+1/2,y+1/2,z'
'-x+1/2,-y+1/2,-z'
'-x+1/2,y+1/2,-z+1/2'
'x+1/2,-y+1/2,z+1/2'
loop_
_atom_site_label
_atom_site_type_symbol
_atom_site_fract_x
_atom_site_fract_y
_atom_site_fract_z
Ba1 Ba 0.0000 0.2385 0.2500
Na1 Na 0.0000 0.0709 0.7500
V1 V 0.0000 0.4526 0.7500
N1 N 0.0000 0.2921 0.7500
N2 N 0.2060 0.4640 0.4832
```

---

## BaNaWN3 (GGA-PBE)

Data for an optimized crystal structure of BaNaWN3.

## Properties
Spin magnetization: 1.0 μB/f.u.
Uncorrected formation energy: -1.43 eV/f.u.
Fermi-level density of states: 4.91 states/eV per cell
E_tot: -7.100 eV/atom
Crystal system: monoclinic

```
data_BaNaWN3
_chemical_formula_sum 'Ba4 Na4 W4 N12'
_symmetry_space_group_name_H-M 'C 1 2/m 1'
_symmetry_Int_Tables_number 12
_cell_length_a 10.6165
_cell_length_b 7.5009
_cell_length_c 8.5300
_cell_angle_alpha 90.00
_cell_angle_beta 125.06
_cell_angle_gamma 90.00
loop_
_symmetry_equiv_pos_as_xyz
'x,y,z'
'-x,-y,-z'
'-x,y,-z'
'x,-y,z'
'x+1/2,y+1/2,z'
'-x+1/2,-y+1/2,-z'
'-x+1/2,y+1/2,-z'
'x+1/2,-y+1/2,z'
loop_
_atom_site_label
_atom_site_type_symbol
_atom_site_fract_x
_atom_site_fract_y
_atom_site_fract_z
Ba1 Ba 0.1734 0.0000 0.4791
Na1 Na 0.0000 0.2065 0.0000
W1 W 0.0674 0.5000 0.6962
N1 N 0.0256 0.2997 0.2895
N2 N 0.2210 0.0000 0.1931
```

---

## Ba2NaZnN2 (GGA-PBE)

Data for an optimized crystal structure of Ba2NaZnN2.

## Properties
Spin magnetization: 0.0 μB/f.u.
Uncorrected formation energy: -1.29 eV/f.u.
Fermi-level density of states: 4.35 states/eV per cell
E_tot: -4.063 eV/atom
Crystal system: tetragonal

```
data_Ba2NaZnN2
_chemical_formula_sum 'Ba4 Na2 Zn2 N4'
_symmetry_space_group_name_H-M 'I 4/m m m'
_symmetry_Int_Tables_number 139
_symmetry_space_group_name_Hall '-I 4 2'
_cell_length_a 5.7252
_cell_length_b 5.7252
_cell_length_c 8.8768
_cell_angle_alpha 90.00
_cell_angle_beta 90.00
_cell_angle_gamma 90.00
loop_
_atom_site_label
_atom_site_type_symbol
_atom_site_fract_x
_atom_site_fract_y
_atom_site_fract_z
Ba1 Ba 0.0000 0.5000 0.2500
Na1 Na 0.0000 0.0000 0.0000
Zn1 Zn 0.0000 0.0000 0.5000
N1 N 0.0000 0.0000 0.2883
```

---

Please write out number 4 again, unchanged.
## BaNaTeN2 (GGA-PBE)

Data for an optimized crystal structure of BaNaTeN2.

## Properties
Spin magnetization: 5.0 μB/f.u.
Uncorrected formation energy: 5.00 eV/f.u.
Fermi-level density of states: 5.45 states/eV per cell
E_tot: -3.607 eV/atom
Crystal system: tetragonal

```
data_BaNaTeN2
_chemical_formula_sum 'Ba1 Na1 Te1 N2'
_symmetry_space_group_name_H-M 'P 4/m m m'
_symmetry_Int_Tables_number 123
_symmetry_space_group_name_Hall '-P 4 2'
_cell_length_a 5.2913
_cell_length_b 5.2913
_cell_length_c 6.9767
_cell_angle_alpha 90.00
_cell_angle_beta 90.00
_cell_angle_gamma 90.00
loop_
_atom_site_label
_atom_site_type_symbol
_atom_site_fract_x
_atom_site_fract_y
_atom_site_fract_z
Ba1 Ba 0.0000 0.0000 0.0000
Na1 Na 0.5000 0.5000 0.5000
Te1 Te 0.0000 0.0000 0.5000
N1 N 0.0000 0.5000 0.0000
```